1.
A relaxed structure of PmMg3Cu, computed with GGA-PBE.

Computed properties:
Energy relative to the lowest polymorph listed for this composition in eV per atom: 0.111
ΔE_f in meV per atom: -23
Density of states at the Fermi level in states/eV per cell: 3.26
Space group: No. 38

Cell lengths 4.698, 5.833, 5.833 Å; angles 48.49, 90.00, 90.00 degrees
Element x y z (fractional)
Pm: 0.000 0.000 0.000
Mg: 0.000 0.704 0.704
Mg: 0.500 0.227 0.227
Mg: 0.500 0.508 0.508
Cu: 0.000 0.347 0.347

***

2.
A relaxed structure of Pm4MgCu5, computed with GGA-PBE.

Computed properties:
ΔE_f in meV per atom: -128
Density of states at the Fermi level in states/eV per cell: 6.94
Space group: No. 123

Cell lengths 3.481, 3.481, 17.620 Å; angles 90.00, 90.00, 90.00 degrees
Element x y z (fractional)
Pm: 0.000 0.000 0.104
Pm: 0.000 0.000 0.312
Pm: 0.000 0.000 0.688
Pm: 0.000 0.000 0.896
Mg: 0.000 0.000 0.500
Cu: 0.500 0.500 0.000
Cu: 0.500 0.500 0.208
Cu: 0.500 0.500 0.420
Cu: 0.500 0.500 0.580
Cu: 0.500 0.500 0.792

***

3.
A relaxed structure of PmMgCu4, computed with GGA-PBE.

Computed properties:
ΔE_f in meV per atom: -202
Density of states at the Fermi level in states/eV per cell: 4.73
Space group: No. 216

Cell lengths 5.167, 5.167, 5.167 Å; angles 60.00, 60.00, 60.00 degrees
Element x y z (fractional)
Pm: 0.000 0.000 0.000
Mg: 0.750 0.750 0.750
Cu: 0.377 0.377 0.377
Cu: 0.377 0.377 0.869
Cu: 0.377 0.869 0.377
Cu: 0.869 0.377 0.377

***

4.
A relaxed structure of PmMg4Cu4, computed with GGA-PBE.

Computed properties:
ΔE_f in meV per atom: 52
Density of states at the Fermi level in states/eV per cell: 9.27
Space group: No. 86

Cell lengths 8.552, 8.552, 5.148 Å; angles 90.00, 90.00, 90.00 degrees
Element x y z (fractional)
Pm: 0.250 0.250 0.250
Pm: 0.750 0.750 0.750
Mg: 0.099 0.641 0.140
Mg: 0.141 0.901 0.640
Mg: 0.359 0.599 0.640
Mg: 0.401 0.859 0.140
Mg: 0.599 0.141 0.860
Mg: 0.641 0.401 0.360
Mg: 0.859 0.099 0.360
Mg: 0.901 0.359 0.860
Cu: 0.048 0.597 0.643
Cu: 0.097 0.952 0.143
Cu: 0.403 0.548 0.143
Cu: 0.452 0.903 0.643
Cu: 0.548 0.097 0.357
Cu: 0.597 0.452 0.857
Cu: 0.903 0.048 0.857
Cu: 0.952 0.403 0.357

***

5.
A relaxed structure of PmMg9Cu2, computed with GGA-PBE.

Computed properties:
ΔE_f in meV per atom: -63
Density of states at the Fermi level in states/eV per cell: 9.45
Space group: No. 141

Cell lengths 9.105, 9.105, 9.105 Å; angles 99.67, 99.67, 131.62 degrees
Element x y z (fractional)
Pm: 0.375 0.625 0.750
Pm: 0.625 0.375 0.250
Mg: 0.125 0.875 0.250
Mg: 0.134 0.564 0.326
Mg: 0.134 0.808 0.570
Mg: 0.192 0.262 0.326
Mg: 0.192 0.866 0.930
Mg: 0.262 0.192 0.826
Mg: 0.262 0.436 0.070
Mg: 0.436 0.262 0.570
Mg: 0.436 0.866 0.174
Mg: 0.564 0.134 0.826
Mg: 0.564 0.738 0.430
Mg: 0.738 0.564 0.930
Mg: 0.738 0.808 0.174
Mg: 0.808 0.134 0.070
Mg: 0.808 0.738 0.674
Mg: 0.866 0.192 0.430
Mg: 0.866 0.436 0.674
Mg: 0.875 0.125 0.750
Cu: 0.000 0.000 0.000
Cu: 0.000 0.000 0.500
Cu: 0.000 0.500 0.000
Cu: 0.500 0.000 0.500

***

6.
A relaxed structure of Pm4Mg3Cu2, computed with GGA-PBE.

Computed properties:
ΔE_f in meV per atom: -81
Density of states at the Fermi level in states/eV per cell: 7.50
Space group: No. 12

Cell lengths 7.823, 7.823, 6.927 Å; angles 103.80, 103.80, 34.37 degrees
Element x y z (fractional)
Pm: 0.075 0.075 0.340
Pm: 0.274 0.274 0.806
Pm: 0.726 0.726 0.194
Pm: 0.925 0.925 0.660
Mg: 0.397 0.397 0.315
Mg: 0.500 0.500 0.000
Mg: 0.603 0.603 0.685
Cu: 0.109 0.109 0.939
Cu: 0.891 0.891 0.061

***

7.
A relaxed structure of Pm2Mg5Cu4, computed with GGA-PBE.

Computed properties:
ΔE_f in meV per atom: -55
Density of states at the Fermi level in states/eV per cell: 7.16
Space group: No. 69

Cell lengths 9.065, 7.532, 6.538 Å; angles 79.88, 54.88, 45.24 degrees
Element x y z (fractional)
Pm: 0.151 0.151 0.849
Pm: 0.849 0.849 0.151
Mg: 0.000 0.000 0.500
Mg: 0.250 0.250 0.250
Mg: 0.500 0.500 0.000
Mg: 0.500 0.500 0.500
Mg: 0.750 0.750 0.750
Cu: 0.239 0.457 0.543
Cu: 0.457 0.239 0.761
Cu: 0.543 0.761 0.239
Cu: 0.761 0.543 0.457

***

8.
A relaxed structure of PmMg4Cu, computed with GGA-PBE.

Computed properties:
ΔE_f in meV per atom: -123
Density of states at the Fermi level in states/eV per cell: 5.91
Space group: No. 51

Cell lengths 8.542, 4.311, 7.422 Å; angles 90.00, 90.00, 90.00 degrees
Element x y z (fractional)
Pm: 0.250 0.000 0.099
Pm: 0.750 0.000 0.901
Mg: 0.000 0.000 0.500
Mg: 0.062 0.500 0.804
Mg: 0.250 0.500 0.447
Mg: 0.438 0.500 0.804
Mg: 0.500 0.000 0.500
Mg: 0.562 0.500 0.196
Mg: 0.750 0.500 0.553
Mg: 0.938 0.500 0.196
Cu: 0.250 0.000 0.702
Cu: 0.750 0.000 0.298

***

9.
A relaxed structure of PmPrMgCu, computed with GGA-PBE.

Computed properties:
ΔE_f in meV per atom: -36
Density of states at the Fermi level in states/eV per cell: 4.74
Space group: No. 216

Cell lengths 5.297, 5.297, 5.297 Å; angles 60.00, 60.00, 60.00 degrees
Element x y z (fractional)
Pm: 0.000 0.000 0.000
Pr: 0.500 0.500 0.500
Mg: 0.250 0.250 0.250
Cu: 0.750 0.750 0.750

***

10.
A relaxed structure of Pm2MgCu2Pt5, computed with GGA-PBE.

Computed properties:
ΔE_f in meV per atom: -796
Density of states at the Fermi level in states/eV per cell: 8.67
Space group: No. 127

Cell lengths 9.510, 9.510, 3.946 Å; angles 90.00, 90.00, 90.00 degrees
Element x y z (fractional)
Pm: 0.177 0.323 0.000
Pm: 0.323 0.823 0.000
Pm: 0.677 0.177 0.000
Pm: 0.823 0.677 0.000
Mg: 0.000 0.000 0.000
Mg: 0.500 0.500 0.000
Cu: 0.120 0.620 0.000
Cu: 0.380 0.120 0.000
Cu: 0.620 0.880 0.000
Cu: 0.880 0.380 0.000
Pt: 0.000 0.500 0.500
Pt: 0.069 0.793 0.500
Pt: 0.207 0.069 0.500
Pt: 0.293 0.569 0.500
Pt: 0.431 0.293 0.500
Pt: 0.500 0.000 0.500
Pt: 0.569 0.707 0.500
Pt: 0.707 0.431 0.500
Pt: 0.793 0.931 0.500
Pt: 0.931 0.207 0.500

***

11.
A relaxed structure of PmMgCuPt, computed with GGA-PBE.

Computed properties:
ΔE_f in meV per atom: -576
Density of states at the Fermi level in states/eV per cell: 3.32
Space group: No. 216

Cell lengths 4.827, 4.827, 4.827 Å; angles 60.00, 60.00, 60.00 degrees
Element x y z (fractional)
Pm: 0.000 0.000 0.000
Mg: 0.500 0.500 0.500
Cu: 0.250 0.250 0.250
Pt: 0.750 0.750 0.750

***

12.
A relaxed structure of PmMg2CuS4, computed with GGA-PBE.

Computed properties:
Formation energy (no corrections) in kJ/mol of formula units: -1052
Space group: No. 63

Cell lengths 6.515, 6.515, 12.850 Å; angles 90.00, 90.00, 146.16 degrees
Element x y z (fractional)
Pm: 0.120 0.880 0.750
Pm: 0.880 0.120 0.250
Mg: 0.374 0.626 0.557
Mg: 0.374 0.626 0.943
Mg: 0.626 0.374 0.057
Mg: 0.626 0.374 0.443
Cu: 0.149 0.851 0.250
Cu: 0.851 0.149 0.750
S: 0.000 0.000 0.000
S: 0.000 0.000 0.500
S: 0.274 0.726 0.116
S: 0.274 0.726 0.384
S: 0.453 0.547 0.750
S: 0.547 0.453 0.250
S: 0.726 0.274 0.616
S: 0.726 0.274 0.884

***

13.
A relaxed structure of PmMgCuSb, computed with GGA-PBE.

Computed properties:
Density of states at the Fermi level in states/eV per cell: 3.98
Formation energy (no corrections) in kJ/mol of formula units: -106
Space group: No. 216

Cell lengths 5.082, 5.082, 5.082 Å; angles 60.00, 60.00, 60.00 degrees
Element x y z (fractional)
Pm: 0.000 0.000 0.000
Mg: 0.500 0.500 0.500
Cu: 0.750 0.750 0.750
Sb: 0.250 0.250 0.250

***

14.
A relaxed structure of PmMgCuSe3, computed with GGA-PBE.

Computed properties:
Formation energy (no corrections) in kJ/mol of formula units: -718
Space group: No. 11

Cell lengths 7.984, 3.950, 8.760 Å; angles 90.00, 102.41, 90.00 degrees
Element x y z (fractional)
Pm: 0.184 0.250 0.246
Pm: 0.816 0.750 0.754
Mg: 0.339 0.750 0.843
Mg: 0.661 0.250 0.157
Cu: 0.075 0.250 0.579
Cu: 0.925 0.750 0.421
Se: 0.097 0.250 0.865
Se: 0.246 0.750 0.517
Se: 0.423 0.750 0.156
Se: 0.577 0.250 0.844
Se: 0.754 0.250 0.483
Se: 0.903 0.750 0.135

***

15.
A relaxed structure of PmMgCu2Si2, computed with GGA-PBE.

Computed properties:
Density of states at the Fermi level in states/eV per cell: 2.09
Formation energy (no corrections) in kJ/mol of formula units: -267
Space group: No. 164

Cell lengths 4.148, 4.148, 6.933 Å; angles 90.00, 90.00, 120.00 degrees
Element x y z (fractional)
Pm: 0.000 0.000 0.000
Mg: 0.000 0.000 0.500
Cu: 0.333 0.667 0.686
Cu: 0.667 0.333 0.314
Si: 0.333 0.667 0.272
Si: 0.667 0.333 0.728

***

16.
A relaxed structure of PmMgCuSi, computed with GGA-PBE.

Computed properties:
Density of states at the Fermi level in states/eV per cell: 1.58
Formation energy (no corrections) in kJ/mol of formula units: -108
Space group: No. 216

Cell lengths 4.816, 4.816, 4.816 Å; angles 60.00, 60.00, 60.00 degrees
Element x y z (fractional)
Pm: 0.000 0.000 0.000
Mg: 0.500 0.500 0.500
Cu: 0.750 0.750 0.750
Si: 0.250 0.250 0.250

***

17.
A relaxed structure of PmMg2Cu2Sn2, computed with GGA-PBE.

Computed properties:
ΔE_f in meV per atom: -335
Density of states at the Fermi level in states/eV per cell: 1.28
Space group: No. 166

Cell lengths 8.858, 8.858, 8.858 Å; angles 29.76, 29.76, 29.76 degrees
Element x y z (fractional)
Pm: 0.000 0.000 0.000
Mg: 0.134 0.134 0.134
Mg: 0.866 0.866 0.866
Cu: 0.411 0.411 0.411
Cu: 0.589 0.589 0.589
Sn: 0.255 0.255 0.255
Sn: 0.745 0.745 0.745

***

18.
A relaxed structure of PmMgCuSn2, computed with GGA-PBE.

Computed properties:
ΔE_f in meV per atom: -339
Density of states at the Fermi level in states/eV per cell: 2.68
Space group: No. 119

Cell lengths 6.894, 6.894, 6.894 Å; angles 142.97, 142.97, 53.37 degrees
Element x y z (fractional)
Pm: 0.000 0.000 0.000
Mg: 0.750 0.250 0.500
Cu: 0.250 0.750 0.500
Sn: 0.385 0.385 0.000
Sn: 0.615 0.615 0.000

***

19.
A relaxed structure of TbPmMgCu, computed with GGA-PBE.

Computed properties:
ΔE_f in meV per atom: -52
Density of states at the Fermi level in states/eV per cell: 4.34
Space group: No. 216

Cell lengths 5.203, 5.203, 5.203 Å; angles 60.00, 60.00, 60.00 degrees
Element x y z (fractional)
Tb: 0.000 0.000 0.000
Pm: 0.500 0.500 0.500
Mg: 0.250 0.250 0.250
Cu: 0.750 0.750 0.750

***

20.
A relaxed structure of PmThMgCu, computed with GGA-PBE.

Computed properties:
ΔE_f in meV per atom: 51
Density of states at the Fermi level in states/eV per cell: 3.99
Space group: No. 216

Cell lengths 5.245, 5.245, 5.245 Å; angles 60.00, 60.00, 60.00 degrees
Element x y z (fractional)
Pm: 0.000 0.000 0.000
Th: 0.500 0.500 0.500
Mg: 0.250 0.250 0.250
Cu: 0.750 0.750 0.750

***

21.
A relaxed structure of PmMgTlCu, computed with GGA-PBE.

Computed properties:
ΔE_f in meV per atom: -206
Density of states at the Fermi level in states/eV per cell: 1.77
Space group: No. 216

Cell lengths 5.054, 5.054, 5.054 Å; angles 60.00, 60.00, 60.00 degrees
Element x y z (fractional)
Pm: 0.000 0.000 0.000
Mg: 0.500 0.500 0.500
Tl: 0.250 0.250 0.250
Cu: 0.750 0.750 0.750

***

22.
A relaxed structure of PmTmMgCu, computed with GGA-PBE.

Computed properties:
ΔE_f in meV per atom: -54
Density of states at the Fermi level in states/eV per cell: 3.98
Space group: No. 216

Cell lengths 5.160, 5.160, 5.160 Å; angles 60.00, 60.00, 60.00 degrees
Element x y z (fractional)
Pm: 0.000 0.000 0.000
Tm: 0.500 0.500 0.500
Mg: 0.250 0.250 0.250
Cu: 0.750 0.750 0.750

***

23.
A relaxed structure of PmYMgCu, computed with GGA-PBE.

Computed properties:
ΔE_f in meV per atom: -60
Density of states at the Fermi level in states/eV per cell: 4.33
Space group: No. 216

Cell lengths 5.201, 5.201, 5.201 Å; angles 60.00, 60.00, 60.00 degrees
Element x y z (fractional)
Pm: 0.000 0.000 0.000
Y: 0.500 0.500 0.500
Mg: 0.250 0.250 0.250
Cu: 0.750 0.750 0.750

***

24.
A relaxed structure of PmMg2ZnCu2, computed with GGA-PBE.

Computed properties:
ΔE_f in meV per atom: 73
Density of states at the Fermi level in states/eV per cell: 4.76
Space group: No. 139

Cell lengths 6.345, 6.345, 6.345 Å; angles 133.71, 133.71, 67.54 degrees
Element x y z (fractional)
Pm: 0.000 0.000 0.000
Mg: 0.250 0.750 0.500
Mg: 0.750 0.250 0.500
Zn: 0.500 0.500 0.000
Cu: 0.278 0.278 0.000
Cu: 0.722 0.722 0.000

***

| no. | volume (Å³/atom) |
| --- | --- |
| 1 | 23.9 |
| 2 | 21.4 |
| 3 | 16.3 |
| 4 | 20.9 |
| 5 | 21.4 |
| 6 | 25.7 |
| 7 | 21.7 |
| 8 | 22.8 |
| 9 | 26.3 |
| 10 | 17.8 |
| 11 | 19.9 |
| 12 | 19.0 |
| 13 | 23.2 |
| 14 | 22.5 |
| 15 | 17.2 |
| 16 | 19.7 |
| 17 | 21.7 |
| 18 | 23.6 |
| 19 | 24.9 |
| 20 | 25.5 |
| 21 | 22.8 |
| 22 | 24.3 |
| 23 | 24.9 |
| 24 | 21.9 |